# SCAN Y3HfGa, PBEsol geometry
# ΔE to the lowest computed polymorph = 0.000 eV per atom
# total magnetization = 0.5342 μB per atom
# energy = -160.615 eV for the cell shown
# E_form = 0.387 eV per atom
# ρ = 5.62 g/cm³
data_Y3HfGa
_chemical_formula_sum 'Y3 Hf1 Ga1'
_cell_length_a 5.3390
_cell_length_b 5.3390
_cell_length_c 5.3390
_cell_angle_alpha 90.00
_cell_angle_beta 90.00
_cell_angle_gamma 90.00
_space_group_name_H-M_alt 'P m -3 m'
_space_group_IT_number 221
_space_group_name_Hall '-P 4 2 3'
loop_
_atom_site_label
_atom_site_type_symbol
_atom_site_fract_x
_atom_site_fract_y
_atom_site_fract_z
Y1 Y 0.0000 0.0000 0.5000
Hf1 Hf 0.5000 0.5000 0.5000
Ga1 Ga 0.0000 0.0000 0.0000

# SCAN La2Hg, PBEsol geometry
# total magnetization = 0.0000 μB per atom
# energy = -155.663 eV for the cell shown
# E_form = -0.429 eV per atom
# ρ = 9.39 g/cm³
data_La2Hg
_chemical_formula_sum 'La2 Hg1'
_cell_length_a 5.0772
_cell_length_b 5.0772
_cell_length_c 3.7893
_cell_angle_alpha 90.00
_cell_angle_beta 90.00
_cell_angle_gamma 120.00
_space_group_name_H-M_alt 'P -3 m 1'
_space_group_IT_number 164
_space_group_name_Hall '-P 3 2"'
loop_
_atom_site_label
_atom_site_type_symbol
_atom_site_fract_x
_atom_site_fract_y
_atom_site_fract_z
La1 La 0.3333 0.6667 0.3353
Hg1 Hg 0.0000 0.0000 0.0000

# SCAN RePb2, PBEsol geometry
# ΔE to the lowest computed polymorph = 0.548 eV per atom
# total magnetization = 0.0001 μB per atom
# energy = -218.262 eV for the cell shown
# E_form = 1.466 eV per atom
# ρ = 14.77 g/cm³
data_RePb2
_chemical_formula_sum 'Re1 Pb2'
_cell_length_a 5.2209
_cell_length_b 5.2209
_cell_length_c 2.8602
_cell_angle_alpha 90.00
_cell_angle_beta 90.00
_cell_angle_gamma 120.00
_space_group_name_H-M_alt 'P 6/m m m'
_space_group_IT_number 191
_space_group_name_Hall '-P 6 2'
loop_
_atom_site_label
_atom_site_type_symbol
_atom_site_fract_x
_atom_site_fract_y
_atom_site_fract_z
Re1 Re 0.0000 0.0000 0.0000
Pb1 Pb 0.3333 0.6667 0.5000

# SCAN MgTlPb2, PBEsol geometry
# total magnetization = 0.0000 μB per atom
# energy = -915.304 eV for the cell shown
# E_form = 0.017 eV per atom
# ρ = 9.57 g/cm³
data_MgTlPb2
_chemical_formula_sum 'Mg4 Tl4 Pb8'
_cell_length_a 7.6422
_cell_length_b 7.6422
_cell_length_c 7.6422
_cell_angle_alpha 90.00
_cell_angle_beta 90.00
_cell_angle_gamma 90.00
_space_group_name_H-M_alt 'F -4 3 m'
_space_group_IT_number 216
_space_group_name_Hall 'F -4 2 3'
loop_
_atom_site_label
_atom_site_type_symbol
_atom_site_fract_x
_atom_site_fract_y
_atom_site_fract_z
Mg1 Mg 0.0000 0.0000 0.0000
Tl1 Tl 0.2500 0.2500 0.7500
Pb1 Pb 0.0000 0.0000 0.5000
Pb2 Pb 0.2500 0.2500 0.2500